[1]
Material: CoBW
Method: DFT, PBE-GGA
State: relaxed

Lattice parameters (Å, degrees): 2.813 2.813 5.176 74.24 74.24 60.00
Atoms (fractional coordinates):
W1 0.339 0.339 0.983
Co1 0.529 0.529 0.414
B1 0.118 0.118 0.647

Computed properties:
Magnetic moment ... 0.0 μB per formula unit
Energy ... -26.57 eV for the cell shown
V ... 34 Å³/cell
Symmetry ... R3m (160)

---

[2]
Material: Co2BW
Method: DFT, PBE-GGA
State: relaxed

Lattice parameters (Å, degrees): 3.580 4.695 5.046 90.00 90.00 90.00
Atoms (fractional coordinates):
Co1 0.000 0.241 0.853
Co2 0.000 0.759 0.853
Co3 0.500 0.259 0.147
Co4 0.500 0.741 0.147
B1 0.000 0.500 0.234
B2 0.500 0.000 0.766
W1 0.000 0.000 0.397
W2 0.500 0.500 0.603

Computed properties:
Magnetic moment ... 0.0 μB per formula unit
Energy ... -67.73 eV for the cell shown
V ... 85 Å³/cell
Symmetry ... Pmmn (59)

---

[3]
Material: CoB4W
Method: DFT, PBE-GGA
State: relaxed

Lattice parameters (Å, degrees): 3.068 5.899 10.974 90.00 90.00 90.00
Atoms (fractional coordinates):
Co1 0.000 0.640 0.092
Co2 0.000 0.360 0.908
Co3 0.000 0.140 0.408
Co4 0.000 0.860 0.592
B1 0.500 0.791 0.193
B2 0.500 0.209 0.807
B3 0.500 0.291 0.307
B4 0.500 0.709 0.693
B5 0.500 0.867 0.032
B6 0.500 0.133 0.968
B7 0.500 0.367 0.468
B8 0.500 0.633 0.532
B9 0.500 0.884 0.446
B10 0.500 0.116 0.554
B11 0.500 0.384 0.054
B12 0.500 0.616 0.946
B13 0.500 0.994 0.297
B14 0.500 0.006 0.703
B15 0.500 0.494 0.203
B16 0.500 0.506 0.797
W1 0.000 0.597 0.366
W2 0.000 0.403 0.634
W3 0.000 0.097 0.134
W4 0.000 0.903 0.866

Computed properties:
Magnetic moment ... 0.0 μB per formula unit
Energy ... -187.78 eV for the cell shown
V ... 199 Å³/cell
Symmetry ... Pbam (55)

---

[4]
Material: Co2BW
Method: DFT, PBE-GGA
State: relaxed

Lattice parameters (Å, degrees): 4.448 6.202 11.980 90.00 90.00 90.00
Atoms (fractional coordinates):
Co1 0.981 0.055 0.214
Co2 0.481 0.945 0.286
Co3 0.019 0.555 0.786
Co4 0.519 0.445 0.714
Co5 0.019 0.945 0.786
Co6 0.519 0.055 0.714
Co7 0.981 0.445 0.214
Co8 0.481 0.555 0.286
Co9 0.753 0.555 0.036
Co10 0.253 0.445 0.464
Co11 0.247 0.055 0.964
Co12 0.747 0.945 0.536
Co13 0.247 0.445 0.964
Co14 0.747 0.555 0.536
Co15 0.753 0.945 0.036
Co16 0.253 0.055 0.464
B1 0.261 0.250 0.317
B2 0.761 0.750 0.183
B3 0.739 0.750 0.683
B4 0.239 0.250 0.817
B5 0.973 0.250 0.068
B6 0.473 0.750 0.432
B7 0.027 0.750 0.932
B8 0.527 0.250 0.568
W1 0.477 0.250 0.138
W2 0.977 0.750 0.362
W3 0.523 0.750 0.862
W4 0.023 0.250 0.638
W5 0.764 0.250 0.390
W6 0.264 0.750 0.110
W7 0.236 0.750 0.610
W8 0.736 0.250 0.890

Computed properties:
Magnetic moment ... 0.0 μB per formula unit
Energy ... -279.93 eV for the cell shown
V ... 331 Å³/cell
Symmetry ... Pnma (62)

---

[5]
Material: Co2BW
Method: DFT, PBE-GGA
State: relaxed

Lattice parameters (Å, degrees): 3.320 3.320 8.551 78.81 78.81 90.00
Atoms (fractional coordinates):
B1 0.500 0.500 0.000
B2 0.250 0.750 0.500
Co1 0.591 0.125 0.250
Co2 0.159 0.625 0.250
Co3 0.375 0.409 0.750
Co4 0.875 0.841 0.750
W1 0.000 0.000 0.000
W2 0.750 0.250 0.500

Computed properties:
Magnetic moment ... 1.3 μB per formula unit
Energy ... -64.87 eV for the cell shown
V ... 91 Å³/cell
Symmetry ... I-42d (122)

---

[6]
Material: CoB3W
Method: DFT, PBE-GGA
State: relaxed

Lattice parameters (Å, degrees): 4.116 4.116 4.116 90.00 90.00 90.00
Atoms (fractional coordinates):
B1 0.000 0.500 0.000
B2 0.000 0.000 0.500
B3 0.500 0.000 0.000
Co1 0.500 0.500 0.500
W1 0.000 0.000 0.000

Computed properties:
Magnetic moment ... 2.5 μB per formula unit
Energy ... -32.21 eV for the cell shown
V ... 70 Å³/cell
Offset from the most stable computed form ... 508 meV per atom
Symmetry ... Pm-3m (221)

---

[7]
Material: Co2B2W
Method: DFT, PBE-GGA
State: relaxed

Lattice parameters (Å, degrees): 3.226 3.616 8.153 95.60 90.00 90.00
Atoms (fractional coordinates):
Co1 0.250 0.846 0.899
Co2 0.750 0.154 0.101
Co3 0.250 0.250 0.497
Co4 0.750 0.750 0.503
B1 0.250 0.785 0.653
B2 0.750 0.215 0.347
B3 0.250 0.364 0.984
B4 0.750 0.636 0.016
W1 0.250 0.693 0.250
W2 0.750 0.307 0.750

Computed properties:
Magnetic moment ... 0.0 μB per formula unit
Energy ... -83.72 eV for the cell shown
V ... 95 Å³/cell
Offset from the most stable computed form ... 0 meV per atom
Symmetry ... P2_1/m (11)

---

[8]
Material: Co4BW2
Method: DFT, PBE-GGA
State: relaxed

Lattice parameters (Å, degrees): 3.645 3.645 6.877 74.63 74.63 90.00
Atoms (fractional coordinates):
B1 0.000 0.000 0.000
Co1 0.149 0.149 0.701
Co2 0.851 0.851 0.299
Co3 0.000 0.500 0.000
Co4 0.500 0.000 0.000
W1 0.332 0.332 0.337
W2 0.668 0.668 0.663

Computed properties:
Magnetic moment ... 0.0 μB per formula unit
Energy ... -58.67 eV for the cell shown
V ... 85 Å³/cell
Symmetry ... I4/mmm (139)

---

[9]
Material: CoBW
Method: DFT, PBE-GGA
State: relaxed

Lattice parameters (Å, degrees): 3.258 5.734 6.626 90.00 90.00 90.00
Atoms (fractional coordinates):
Co1 0.250 0.143 0.442
Co2 0.250 0.643 0.058
Co3 0.750 0.857 0.558
Co4 0.750 0.357 0.942
B1 0.250 0.269 0.126
B2 0.250 0.769 0.374
B3 0.750 0.731 0.874
B4 0.750 0.231 0.626
W1 0.250 0.028 0.825
W2 0.250 0.528 0.675
W3 0.750 0.972 0.175
W4 0.750 0.472 0.325

Computed properties:
Magnetic moment ... 0.0 μB per formula unit
Energy ... -112.17 eV for the cell shown
V ... 124 Å³/cell
Symmetry ... Pnma (62)

---

[10]
Material: Co10B3W
Method: DFT, PBE-GGA
State: relaxed

Lattice parameters (Å, degrees): 7.365 7.365 7.365 60.00 60.00 60.00
Atoms (fractional coordinates):
Co1 0.000 0.000 0.338
Co2 0.000 0.338 0.000
Co3 0.338 0.000 0.000
Co4 0.662 0.338 0.000
Co5 0.382 0.382 0.382
Co6 0.146 0.618 0.618
Co7 0.382 0.854 0.382
Co8 0.662 0.000 0.338
Co9 0.382 0.382 0.854
Co10 0.854 0.382 0.382
Co11 0.618 0.618 0.146
Co12 0.000 0.000 0.662
Co13 0.338 0.662 0.000
Co14 0.000 0.662 0.338
Co15 0.000 0.338 0.662
Co16 0.662 0.000 0.000
Co17 0.618 0.618 0.618
Co18 0.000 0.662 0.000
Co19 0.618 0.146 0.618
Co20 0.338 0.000 0.662
B1 0.726 0.726 0.274
B2 0.726 0.274 0.726
B3 0.274 0.726 0.726
B4 0.274 0.274 0.726
B5 0.726 0.274 0.274
B6 0.274 0.726 0.274
W1 0.250 0.250 0.250
W2 0.750 0.750 0.750

Computed properties:
Magnetic moment ... 8.1 μB per formula unit
Energy ... -213.48 eV for the cell shown
V ... 283 Å³/cell
Symmetry ... Fm-3m (225)

---

[11]
Material: Co2B2W
Method: DFT, PBE-GGA
State: relaxed

Lattice parameters (Å, degrees): 6.107 6.107 2.559 90.00 90.00 90.00
Atoms (fractional coordinates):
B1 0.358 0.858 0.000
B2 0.858 0.642 0.000
B3 0.642 0.142 0.000
B4 0.142 0.358 0.000
Co1 0.148 0.648 0.500
Co2 0.648 0.852 0.500
Co3 0.852 0.352 0.500
Co4 0.352 0.148 0.500
W1 0.000 0.000 0.000
W2 0.500 0.500 0.000

Computed properties:
Magnetic moment ... 0.0 μB per formula unit
Energy ... -81.59 eV for the cell shown
V ... 95 Å³/cell
Offset from the most stable computed form ... 213 meV per atom
Symmetry ... P4/mbm (127)

---

[12]
Material: Co20B6W3
Method: DFT, PBE-GGA
State: relaxed

Lattice parameters (Å, degrees): 7.414 7.414 7.414 60.00 60.00 60.00
Atoms (fractional coordinates):
Co1 0.382 0.382 0.854
Co2 0.146 0.618 0.618
Co3 0.659 0.000 0.000
Co4 0.659 0.341 0.000
Co5 0.000 0.000 0.659
Co6 0.382 0.854 0.382
Co7 0.000 0.341 0.659
Co8 0.659 0.000 0.341
Co9 0.000 0.659 0.000
Co10 0.000 0.000 0.341
Co11 0.341 0.000 0.659
Co12 0.000 0.341 0.000
Co13 0.341 0.659 0.000
Co14 0.341 0.000 0.000
Co15 0.382 0.382 0.382
Co16 0.618 0.618 0.146
Co17 0.618 0.618 0.618
Co18 0.618 0.146 0.618
Co19 0.854 0.382 0.382
Co20 0.000 0.659 0.341
B1 0.274 0.726 0.726
B2 0.726 0.274 0.274
B3 0.274 0.274 0.726
B4 0.726 0.274 0.726
B5 0.274 0.726 0.274
B6 0.726 0.726 0.274
W1 0.750 0.750 0.750
W2 0.250 0.250 0.250
W3 0.000 0.000 0.000

Computed properties:
Magnetic moment ... 11.7 μB per formula unit
Energy ... -227.48 eV for the cell shown
V ... 288 Å³/cell
Symmetry ... Fm-3m (225)

---

Question: Which value of V does entry 2 give?
Answer: 85 Å³/cell